Material: FePbIO2
Method: DFT, GGA+U
State: optimized geometry

Properties
calculated density: 5.82 g cm⁻³
Fermi-level density of states: 2.728 states/eV/cell
distance to the lowest polymorph of the same formula: 315 meV/atom

Lattice parameters (Å, degrees): 4.241 4.241 6.692 90.00 90.00 90.00
Positions (direct):
Fe  0.000  0.000  0.000
Pb  0.500  0.500  0.500
I  0.500  0.500  0.000
O  0.000  0.500  0.500
O  0.500  0.000  0.500